(1)
Material: CrSiOs2
Method: DFT, PBE
State: relaxed

Summary:
The value obtained for the energy is -9.427 eV/atom.

Geometry as CIF:
```
data_CrSiOs2
_cell_length_a 2.760
_cell_length_b 3.805
_cell_length_c 5.086
_cell_angle_alpha 90.00
_cell_angle_beta 90.00
_cell_angle_gamma 90.00
_symmetry_space_group_name_H-M 'P 1'
_symmetry_Int_Tables_number 1
loop_
_symmetry_equiv_pos_as_xyz
'x,y,z'
loop_
_atom_site_label
_atom_site_type_symbol
_atom_site_fract_x
_atom_site_fract_y
_atom_site_fract_z
Cr1 Cr 0.000 0.000 0.000
Si1 Si 0.500 0.500 0.731
Os1 Os 0.000 0.000 0.533
Os2 Os 0.500 0.500 0.208
```

(2)
Material: CrSi2Os
Method: DFT, PBE
State: relaxed

Summary:
The value obtained for the energy is -8.139 eV/atom.

Geometry as CIF:
```
data_CrSi2Os
_cell_length_a 4.135
_cell_length_b 4.135
_cell_length_c 2.933
_cell_angle_alpha 90.00
_cell_angle_beta 90.00
_cell_angle_gamma 90.00
_symmetry_space_group_name_H-M 'P 1'
_symmetry_Int_Tables_number 1
loop_
_symmetry_equiv_pos_as_xyz
'x,y,z'
loop_
_atom_site_label
_atom_site_type_symbol
_atom_site_fract_x
_atom_site_fract_y
_atom_site_fract_z
Cr1 Cr 0.000 0.000 0.000
Si1 Si 0.000 0.500 0.500
Si2 Si 0.500 0.000 0.500
Os1 Os 0.500 0.500 0.000
```

(3)
Material: CrSiOs2
Method: DFT, PBE
State: relaxed

Summary:
The value obtained for the energy is -9.527 eV/atom.

Geometry as CIF:
```
data_CrSiOs2
_cell_length_a 2.924
_cell_length_b 2.924
_cell_length_c 6.140
_cell_angle_alpha 90.00
_cell_angle_beta 90.00
_cell_angle_gamma 90.00
_symmetry_space_group_name_H-M 'P 1'
_symmetry_Int_Tables_number 1
loop_
_symmetry_equiv_pos_as_xyz
'x,y,z'
loop_
_atom_site_label
_atom_site_type_symbol
_atom_site_fract_x
_atom_site_fract_y
_atom_site_fract_z
Cr1 Cr 0.000 0.000 0.000
Si1 Si 0.000 0.000 0.500
Os1 Os 0.500 0.500 0.265
Os2 Os 0.500 0.500 0.735
```

Number 1: magnetic moment 0.0001 μB per atom. Number 2: magnetic moment 0.3324 μB per atom. Number 3: magnetic moment 0.3846 μB per atom.